RbCaGaF6 | PBE-GGA | optimized geometry

The space group is Imma (No. 74) and the conventional cell measures 7.5516, 7.6567 and 10.1822 Å, with angles of 90.00, 90.00 and 90.00 degrees. The asymmetric unit holds Rb at (0.0000, 0.2500, 0.1033), Ca at (0.0000, 0.0000, 0.5000), Ga at (0.2500, 0.2500, 0.7500), F at (0.0000, 0.2500, 0.3911), F at (0.0000, 0.2500, 0.7020) and F at (0.2301, 0.0749, 0.8811).

The calculated total energy comes out at -181.90 eV per cell.



RbCa2GaF | PBE-GGA | optimized geometry

The space group is P4/mmm (No. 123) and the conventional cell measures 5.6905, 5.6905 and 6.8734 Å, with angles of 90.00, 90.00 and 90.00 degrees. The asymmetric unit holds Rb at (0.0000, 0.0000, 0.0000), Ca at (0.0000, 0.5000, 0.5000), Ga at (0.0000, 0.0000, 0.5000) and F at (0.5000, 0.5000, 0.0000).

The calculated total energy comes out at -12.24 eV per cell.



Ca2GaSnF | PBE-GGA | optimized geometry

The space group is P4/mmm (No. 123) and the conventional cell measures 4.9157, 4.9157 and 4.7783 Å, with angles of 90.00, 90.00 and 90.00 degrees. The asymmetric unit holds Ca at (0.0000, 0.5000, 0.0000), Ga at (0.0000, 0.0000, 0.5000), Sn at (0.5000, 0.5000, 0.5000) and F at (0.0000, 0.0000, 0.0000).

The calculated total energy comes out at -18.99 eV per cell.



CaGaSn2F | PBE-GGA | optimized geometry

The space group is P4/mmm (No. 123) and the conventional cell measures 4.9575, 4.9575 and 4.8826 Å, with angles of 90.00, 90.00 and 90.00 degrees. The asymmetric unit holds Ca at (0.0000, 0.0000, 0.0000), Ga at (0.5000, 0.5000, 0.0000), Sn at (0.0000, 0.5000, 0.5000) and F at (0.5000, 0.5000, 0.5000).

The calculated total energy comes out at -18.22 eV per cell.



Sr2CaGaF | PBE-GGA | optimized geometry

The space group is P4/mmm (No. 123) and the conventional cell measures 5.2342, 5.2342 and 4.9827 Å, with angles of 90.00, 90.00 and 90.00 degrees. The asymmetric unit holds Sr at (0.0000, 0.5000, 0.0000), Ca at (0.0000, 0.0000, 0.5000), Ga at (0.5000, 0.5000, 0.5000) and F at (0.0000, 0.0000, 0.0000).

The calculated total energy comes out at -16.10 eV per cell.



CaTaGaF2 | PBE-GGA | optimized geometry

The space group is P4/mmm (No. 123) and the conventional cell measures 4.4088, 4.4088 and 5.4196 Å, with angles of 90.00, 90.00 and 90.00 degrees. The asymmetric unit holds Ca at (0.0000, 0.0000, 0.0000), Ta at (0.5000, 0.5000, 0.0000), Ga at (0.5000, 0.5000, 0.5000) and F at (0.0000, 0.5000, 0.5000).

The calculated total energy comes out at -22.37 eV per cell.



CaGaTcF2 | PBE-GGA | optimized geometry

The space group is P4/mmm (No. 123) and the conventional cell measures 4.3126, 4.3126 and 5.2260 Å, with angles of 90.00, 90.00 and 90.00 degrees. The asymmetric unit holds Ca at (0.0000, 0.0000, 0.0000), Ga at (0.5000, 0.5000, 0.5000), Tc at (0.5000, 0.5000, 0.0000) and F at (0.0000, 0.5000, 0.5000).

The calculated total energy comes out at -22.51 eV per cell.



CaGa2TeF | PBE-GGA | optimized geometry

The space group is P4/mmm (No. 123) and the conventional cell measures 5.6791, 5.6791 and 4.3908 Å, with angles of 90.00, 90.00 and 90.00 degrees. The asymmetric unit holds Ca at (0.0000, 0.0000, 0.0000), Ga at (0.0000, 0.5000, 0.5000), Te at (0.5000, 0.5000, 0.5000) and F at (0.5000, 0.5000, 0.0000).

The calculated total energy comes out at -14.72 eV per cell.



CaTl2Ga3F12 | PBE-GGA | optimized geometry

The space group is R-3m (No. 166, hexagonal axes) and the conventional cell measures 7.5451, 7.5451 and 18.4601 Å, with angles of 90.00, 90.00 and 120.00 degrees. The asymmetric unit holds Ca at (0.0000, 0.0000, 0.0000), Tl at (0.0000, 0.0000, 0.3684), Ga at (0.0000, 0.5000, 0.5000), F at (0.0309, 0.5154, 0.6043) and F at (0.0814, 0.5407, 0.8416).

The calculated total energy comes out at -254.00 eV per cell.



CaZn2GaF | PBE-GGA | optimized geometry

The space group is P4/mmm (No. 123) and the conventional cell measures 4.7777, 4.7777 and 4.6304 Å, with angles of 90.00, 90.00 and 90.00 degrees. The asymmetric unit holds Ca at (0.0000, 0.0000, 0.0000), Zn at (0.0000, 0.5000, 0.5000), Ga at (0.5000, 0.5000, 0.0000) and F at (0.5000, 0.5000, 0.5000).

The calculated total energy comes out at -11.92 eV per cell.



CaGeF2 | PBE-GGA | optimized geometry

The space group is R-3m (No. 166, hexagonal axes) and the conventional cell measures 3.4104, 3.4104 and 26.1556 Å, with angles of 90.00, 90.00 and 120.00 degrees. The asymmetric unit holds Ca at (0.0000, 0.0000, 0.0000), Ge at (0.0000, 0.0000, 0.5000) and F at (0.0000, 0.0000, 0.3739).

The calculation puts the offset from the most stable computed form at 0 meV/atom. The calculated total energy comes out at -60.26 eV per cell.



Ca2GeF | PBE-GGA | optimized geometry

The space group is Fm-3m (No. 225) and the conventional cell measures 7.1095, 7.1095 and 7.1095 Å, with angles of 90.00, 90.00 and 90.00 degrees. The asymmetric unit holds Ca at (0.2500, 0.2500, 0.2500), Ge at (0.0000, 0.0000, 0.0000) and F at (0.0000, 0.0000, 0.5000).

The calculation puts the offset from the most stable computed form at 294 meV/atom. The calculated total energy comes out at -62.24 eV per cell.



Spin magnetization? In order: 0.360; 0.000; 0.000; 0.000; 0.000; 2.086; 2.837; 0.000; 0.000; 0.000; 0.000; 4.002 μB per cell.
Energy relative to the elements, uncorrected? In order: -28.25; -2.37; -6.08; -3.32; -5.83; -1.75; -3.37; -1.65; -46.40; -2.47; -9.72; -5.07 eV per formula unit.